Run 1
AcSmInHg after structural relaxation, computed with PBE.

The structure in POSCAR format:
```
AcSmInHg
1.0
3.923 0.000 0.000
0.000 3.923 0.000
0.000 0.000 7.984
Ac Sm In Hg
1 1 1 1
direct
0.000 0.000 0.000
0.000 0.000 0.491
0.500 0.500 0.724
0.500 0.500 0.279
```

Values from the calculation:
DOS(E_F) = 1.125 states/eV per atom

Run 2
AcSmInHg after structural relaxation, computed with PBE.

The structure in POSCAR format:
```
AcSmInHg
1.0
0.000 3.966 3.966
3.966 0.000 3.966
3.966 3.966 0.000
Ac Sm In Hg
1 1 1 1
direct
0.000 0.000 0.000
0.500 0.500 0.500
0.250 0.250 0.250
0.750 0.750 0.750
```

Values from the calculation:
DOS(E_F) = 1.264 states/eV per atom

Stability ranking, top entry: run 1; the second entry is 0.031 eV/atom less favorable.

Run 1
Ac2HgIr after structural relaxation, computed with PBE.

The structure in POSCAR format:
```
Ac2HgIr
1.0
2.185 1.261 8.137
-2.185 1.261 8.137
0.000 -2.523 8.137
Ac Hg Ir
2 1 1
direct
0.233 0.233 0.233
0.767 0.767 0.767
0.000 0.000 0.000
0.500 0.500 0.500
```

Values from the calculation:
DOS(E_F) = 0.869 states/eV per atom

Run 2
Ac2HgIr after structural relaxation, computed with PBE.

The structure in POSCAR format:
```
Ac2HgIr
1.0
0.000 3.866 3.866
3.866 0.000 3.866
3.866 3.866 0.000
Ac Hg Ir
2 1 1
direct
0.250 0.250 0.250
0.750 0.750 0.750
0.000 0.000 0.000
0.500 0.500 0.500
```

Values from the calculation:
DOS(E_F) = 0.367 states/eV per atom

Run 3
Ac2HgIr after structural relaxation, computed with PBE.

The structure in POSCAR format:
```
Ac2HgIr
1.0
3.799 0.000 0.000
0.000 3.799 0.000
0.000 0.000 8.151
Ac Hg Ir
2 1 1
direct
0.000 0.000 0.217
0.000 0.000 0.783
0.500 0.500 0.500
0.500 0.500 0.000
```

Values from the calculation:
DOS(E_F) = 0.600 states/eV per atom

Stability ranking, top entry: run 1; the second entry is 0.119 eV/atom less favorable.

Run 1
Ac4Hg2Ir after structural relaxation, computed with PBE.

The structure in POSCAR format:
```
Ac4Hg2Ir
1.0
-2.899 2.899 8.066
2.899 -2.899 8.066
2.899 2.899 -8.066
Ac Hg Ir
4 2 1
direct
0.000 0.500 0.500
0.185 0.185 0.000
0.500 0.000 0.500
0.815 0.815 0.000
0.385 0.385 0.000
0.615 0.615 0.000
0.000 0.000 0.000
```

Values from the calculation:
DOS(E_F) = 1.001 states/eV per atom

Run 2
Ac4Hg2Ir after structural relaxation, computed with PBE.

The structure in POSCAR format:
```
Ac4Hg2Ir
1.0
7.393 -2.177 0.000
7.393 2.177 0.000
-5.495 0.000 7.800
Ac Hg Ir
4 2 1
direct
0.085 0.085 0.370
0.341 0.341 0.926
0.659 0.659 0.074
0.915 0.915 0.630
0.378 0.378 0.321
0.622 0.622 0.679
0.000 0.000 0.000
```

Values from the calculation:
DOS(E_F) = 0.830 states/eV per atom

Stability ranking, top entry: run 2; the second entry is 0.128 eV/atom less favorable.

Run 1
AcNdHgIr after structural relaxation, computed with PBE.

The structure in POSCAR format:
```
AcNdHgIr
1.0
4.336 0.000 0.000
-2.168 3.755 0.000
0.000 0.000 7.780
Ac Nd Hg Ir
1 1 1 1
direct
0.000 0.000 0.000
0.333 0.667 0.605
0.667 0.333 0.324
0.667 0.333 0.789
```

Values from the calculation:
DOS(E_F) = 0.850 states/eV per atom

Run 2
AcNdHgIr after structural relaxation, computed with PBE.

The structure in POSCAR format:
```
AcNdHgIr
1.0
0.000 3.778 3.778
3.778 0.000 3.778
3.778 3.778 0.000
Ac Nd Hg Ir
1 1 1 1
direct
0.000 0.000 0.000
0.500 0.500 0.500
0.750 0.750 0.750
0.250 0.250 0.250
```

Values from the calculation:
DOS(E_F) = 0.461 states/eV per atom

Stability ranking, top entry: run 1; the second entry is 0.133 eV/atom less favorable.

Run 1
AcPmHgIr after structural relaxation, computed with PBE.

The structure in POSCAR format:
```
AcPmHgIr
1.0
0.000 3.766 3.766
3.766 0.000 3.766
3.766 3.766 0.000
Ac Pm Hg Ir
1 1 1 1
direct
0.000 0.000 0.000
0.500 0.500 0.500
0.750 0.750 0.750
0.250 0.250 0.250
```

Values from the calculation:
DOS(E_F) = 0.471 states/eV per atom

Run 2
AcPmHgIr after structural relaxation, computed with PBE.

The structure in POSCAR format:
```
AcPmHgIr
1.0
2.149 1.241 7.795
-2.149 1.241 7.795
0.000 -2.481 7.795
Ac Pm Hg Ir
1 1 1 1
direct
0.000 0.000 0.000
0.201 0.201 0.201
0.774 0.774 0.774
0.598 0.598 0.598
```

Values from the calculation:
DOS(E_F) = 0.694 states/eV per atom

Stability ranking, top entry: run 2; the second entry is 0.124 eV/atom less favorable.

Run 1
AcYHgIr after structural relaxation, computed with PBE.

The structure in POSCAR format:
```
AcYHgIr
1.0
2.127 1.228 7.702
-2.127 1.228 7.702
0.000 -2.457 7.702
Ac Y Hg Ir
1 1 1 1
direct
0.000 0.000 0.000
0.799 0.799 0.799
0.224 0.224 0.224
0.404 0.404 0.404
```

Values from the calculation:
DOS(E_F) = 0.619 states/eV per atom

Run 2
AcYHgIr after structural relaxation, computed with PBE.

The structure in POSCAR format:
```
AcYHgIr
1.0
0.000 3.731 3.731
3.731 0.000 3.731
3.731 3.731 0.000
Ac Y Hg Ir
1 1 1 1
direct
0.000 0.000 0.000
0.500 0.500 0.500
0.250 0.250 0.250
0.750 0.750 0.750
```

Values from the calculation:
DOS(E_F) = 0.635 states/eV per atom

Stability ranking, top entry: run 1; the second entry is 0.112 eV/atom less favorable.